## ZrCd2Cu (PBE)

Data for a relaxed ZrCd2Cu crystal.

Cell: 5.8468 9.9783 2.8587 Å, 90.00 107.47 90.00°
Last column: nearest neighbours and their distance in Å.
Space group C2/m (No. 12)
Unique sites:
1 Zr 0.0000 0.0000 0.0000  2 Zr 2.86, 2 Cu 2.92, 4 Cd 3.02
2 Cd 0.2500 0.2500 0.5000  4 Cd 2.86-2.92, 2 Zr 3.02, 2 Cu 3.02
3 Cu 0.0000 0.5000 0.0000  2 Cu 2.86, 2 Zr 2.92, 4 Cd 3.02

Calculated values
magnetization	0.0	μB/f.u.
DOS at the Fermi energy	3.646	states/eV/f.u.
calculated density	7.9	g cm⁻³
E	-3.49	eV/atom
volume	19.89	Å³/atom
DFT formation energy	0.13	eV/atom